Below is crystalline Cs5KS at its relaxed geometry, with properties calculated at the PBE-GGA level.

## Properties
Magnetization in μB per formula unit: 0.0
Formation energy (no corrections) in eV per atom: -0.404
VASP energy in eV/atom: -1.760

```
Cs5KS
1.0
9.954 -0.805 -2.855
-4.739 9.237 -0.319
-1.603 -0.022 14.378
Cs K S
10 2 2
Cartesian
2.538 7.894 -1.269 Cs
-3.244 8.238 7.331 Cs
3.861 2.868 6.228 Cs
2.089 -0.205 2.880 Cs
3.895 5.119 10.774 Cs
-0.283 3.291 0.430 Cs
1.523 8.615 8.323 Cs
-0.249 5.542 4.975 Cs
6.856 0.172 3.872 Cs
1.074 0.517 12.473 Cs
4.693 4.006 1.295 K
-1.081 4.405 9.909 K
0.000 0.000 0.000 S
4.176 -0.413 5.761 S
```